*P*
Below is a geometry-optimized AcPmAs2 structure, with properties calculated at the PBE level.

The size of the total moment is 0.0 μB/f.u. Its density of states at the Fermi level is 0.46 states/eV per atom.

The space group is Fm-3m (No. 225) and the conventional cell measures 7.5444, 7.5444 and 7.5444 Å, with angles of 90.00, 90.00 and 90.00 degrees. The inequivalent atoms are Ac at (0.0000, 0.0000, 0.0000), Pm at (0.0000, 0.0000, 0.5000) and As at (0.2500, 0.2500, 0.2500).

*Q*
Below is a geometry-optimized AcPmAs2 structure, with properties calculated at the PBE level.

The size of the total moment is 0.0 μB/f.u. Its density of states at the Fermi level is 0.05 states/eV per atom.

The space group is R3m (No. 160, hexagonal axes) and the conventional cell measures 4.3345, 4.3345 and 22.5468 Å, with angles of 90.00, 90.00 and 120.00 degrees. The inequivalent atoms are Ac at (0.0000, 0.0000, 0.0000), Pm at (0.0000, 0.0000, 0.8292), As at (0.0000, 0.0000, 0.4177) and As at (0.0000, 0.0000, 0.5763).

Least stable structure: *P*

*P*
Below is a geometry-optimized AcPr2As structure, with properties calculated at the PBE level.

The size of the total moment is 0.0 μB/f.u. Its density of states at the Fermi level is 0.92 states/eV per atom.

The space group is R3m (No. 160, hexagonal axes) and the conventional cell measures 4.1176, 4.1176 and 29.4308 Å, with angles of 90.00, 90.00 and 120.00 degrees. The inequivalent atoms are Ac at (0.0000, 0.0000, 0.0000), Pr at (0.0000, 0.0000, 0.2263), Pr at (0.0000, 0.0000, 0.4405) and As at (0.0000, 0.0000, 0.8338).

*Q*
Below is a geometry-optimized AcPr2As structure, with properties calculated at the PBE level.

The size of the total moment is 0.0 μB/f.u. Its density of states at the Fermi level is 1.57 states/eV per atom.

The space group is P4/mmm (No. 123) and the conventional cell measures 3.9109, 3.9109 and 8.3006 Å, with angles of 90.00, 90.00 and 90.00 degrees. The inequivalent atoms are Ac at (0.0000, 0.0000, 0.0000), Pr at (0.5000, 0.5000, 0.3083) and As at (0.0000, 0.0000, 0.5000).

*R*
Below is a geometry-optimized AcPr2As structure, with properties calculated at the PBE level.

The size of the total moment is 0.1 μB/f.u. Its density of states at the Fermi level is 1.44 states/eV per atom.

The space group is R-3m (No. 166, hexagonal axes) and the conventional cell measures 4.0275, 4.0275 and 32.9148 Å, with angles of 90.00, 90.00 and 120.00 degrees. The inequivalent atoms are Ac at (0.0000, 0.0000, 0.0000), Pr at (0.0000, 0.0000, 0.1136) and As at (0.0000, 0.0000, 0.5000).

Least stable structure: *R*

*P*
Below is a geometry-optimized AcPrAs2 structure, with properties calculated at the PBE level.

The size of the total moment is 0.0 μB/f.u. Its density of states at the Fermi level is 0.05 states/eV per atom.

The space group is R3m (No. 160, hexagonal axes) and the conventional cell measures 4.3667, 4.3667 and 22.7165 Å, with angles of 90.00, 90.00 and 120.00 degrees. The inequivalent atoms are Ac at (0.0000, 0.0000, 0.0000), Pr at (0.0000, 0.0000, 0.8292), As at (0.0000, 0.0000, 0.4167) and As at (0.0000, 0.0000, 0.5778).

*Q*
Below is a geometry-optimized AcPrAs2 structure, with properties calculated at the PBE level.

The size of the total moment is 0.0 μB/f.u. Its density of states at the Fermi level is 0.52 states/eV per atom.

The space group is Fm-3m (No. 225) and the conventional cell measures 7.5946, 7.5946 and 7.5946 Å, with angles of 90.00, 90.00 and 90.00 degrees. The inequivalent atoms are Ac at (0.0000, 0.0000, 0.0000), Pr at (0.0000, 0.0000, 0.5000) and As at (0.2500, 0.2500, 0.2500).

*R*
Below is a geometry-optimized AcPrAs2 structure, with properties calculated at the PBE level.

The size of the total moment is 0.0 μB/f.u. Its density of states at the Fermi level is 0.14 states/eV per atom.

The space group is R-3m (No. 166, hexagonal axes) and the conventional cell measures 4.4291, 4.4291 and 21.7277 Å, with angles of 90.00, 90.00 and 120.00 degrees. The inequivalent atoms are Ac at (0.0000, 0.0000, 0.0000), Pr at (0.0000, 0.0000, 0.5000) and As at (0.0000, 0.0000, 0.2460).

Least stable structure: *Q*

*P*
Below is a geometry-optimized AcPrAs2 structure, with properties calculated at the PBE level.

The size of the total moment is 0.0 μB/f.u. Its density of states at the Fermi level is 0.13 states/eV per atom.

The space group is P6_3/mmc (No. 194) and the conventional cell measures 4.3896, 4.3896 and 14.6596 Å, with angles of 90.00, 90.00 and 120.00 degrees. The inequivalent atoms are Ac at (0.3333, 0.6667, 0.2500), Pr at (0.0000, 0.0000, 0.0000) and As at (0.3333, 0.6667, 0.6177).

*Q*
Below is a geometry-optimized AcPrAs2 structure, with properties calculated at the PBE level.

The size of the total moment is 0.0 μB/f.u. Its density of states at the Fermi level is 0.46 states/eV per atom.

The space group is P4/mmm (No. 123) and the conventional cell measures 5.3864, 5.3864 and 3.7801 Å, with angles of 90.00, 90.00 and 90.00 degrees. The inequivalent atoms are Ac at (0.0000, 0.0000, 0.0000), Pr at (0.5000, 0.5000, 0.0000) and As at (0.0000, 0.5000, 0.5000).

Least stable structure: *Q*

*P*
Below is a geometry-optimized AcPrAs structure, with properties calculated at the PBE level.

The size of the total moment is 0.0 μB/f.u. Its density of states at the Fermi level is 0.65 states/eV per atom.

The space group is F-43m (No. 216) and the conventional cell measures 7.3435, 7.3435 and 7.3435 Å, with angles of 90.00, 90.00 and 90.00 degrees. The inequivalent atoms are Ac at (0.0000, 0.0000, 0.0000), Pr at (0.0000, 0.0000, 0.5000) and As at (0.2500, 0.2500, 0.7500).

*Q*
Below is a geometry-optimized AcPrAs structure, with properties calculated at the PBE level.

The size of the total moment is 0.0 μB/f.u. Its density of states at the Fermi level is 0.99 states/eV per atom.

The space group is I4mm (No. 107) and the conventional cell measures 3.8619, 3.8619 and 13.3297 Å, with angles of 90.00, 90.00 and 90.00 degrees. The inequivalent atoms are Ac at (0.0000, 0.0000, 0.0000), Pr at (0.0000, 0.0000, 0.7422) and As at (0.0000, 0.0000, 0.3589).

*R*
Below is a geometry-optimized AcPrAs structure, with properties calculated at the PBE level.

The size of the total moment is 1.1 μB/f.u. Its density of states at the Fermi level is 0.91 states/eV per atom.

The space group is P3m1 (No. 156) and the conventional cell measures 4.2544, 4.2544 and 7.0742 Å, with angles of 90.00, 90.00 and 120.00 degrees. The inequivalent atoms are Ac at (0.0000, 0.0000, 0.0000), Pr at (0.6667, 0.3333, 0.4912) and As at (0.3333, 0.6667, 0.7254).

Least stable structure: *Q*

*P*
Below is a geometry-optimized Ac2AsPt structure, with properties calculated at the PBE level.

The size of the total moment is 0.0 μB/f.u. Its density of states at the Fermi level is 0.73 states/eV per atom.

The space group is R-3m (No. 166, hexagonal axes) and the conventional cell measures 4.5022, 4.5022 and 27.1921 Å, with angles of 90.00, 90.00 and 120.00 degrees. The inequivalent atoms are Ac at (0.0000, 0.0000, 0.1013), As at (0.0000, 0.0000, 0.5000) and Pt at (0.0000, 0.0000, 0.0000).

*Q*
Below is a geometry-optimized Ac2AsPt structure, with properties calculated at the PBE level.

The size of the total moment is 0.0 μB/f.u. Its density of states at the Fermi level is 0.37 states/eV per atom.

The space group is P-3m1 (No. 164) and the conventional cell measures 4.4804, 4.4804 and 21.8308 Å, with angles of 90.00, 90.00 and 120.00 degrees. The inequivalent atoms are Ac at (0.0000, 0.0000, 0.2420), Ac at (0.3333, 0.6667, 0.4145), Ac at (0.3333, 0.6667, 0.9201), As at (0.0000, 0.0000, 0.5000), As at (0.3333, 0.6667, 0.6722), Pt at (0.0000, 0.0000, 0.0000) and Pt at (0.3333, 0.6667, 0.1604).

*R*
Below is a geometry-optimized Ac2AsPt structure, with properties calculated at the PBE level.

The size of the total moment is 0.0 μB/f.u. Its density of states at the Fermi level is 0.84 states/eV per atom.

The space group is R3m (No. 160, hexagonal axes) and the conventional cell measures 4.4169, 4.4169 and 22.7895 Å, with angles of 90.00, 90.00 and 120.00 degrees. The inequivalent atoms are Ac at (0.0000, 0.0000, 0.0000), Ac at (0.0000, 0.0000, 0.1755), As at (0.0000, 0.0000, 0.4227) and Pt at (0.0000, 0.0000, 0.5878).

Least stable structure: *P*